# 1
VASP calculation (PBEsol) on an optimized crystal structure of CsPbS2N.

Lattice parameters (Å, degrees): 4.3249 5.4184 5.4184 90.00 90.00 90.00
With the nearest neighbours (Å) after each atom.
Sites, in units of the cell vectors:
S: 0.0000 0.5000 0.0000  2 Cs 2.71
Pb: 0.5000 0.5000 0.5000  8 S 3.47, 4 N 3.83
Cs: 0.0000 0.0000 0.0000  2 N 2.16
N: 0.5000 0.0000 0.0000  2 Cs 2.16
S: 0.0000 0.0000 0.5000  2 Cs 2.71

The calculation puts the uncorrected formation energy at 1.362 eV/atom. For the density, the calculation gives 5.470 g/cm³. For the volume, the calculation gives 127.0 Å³/cell. The value obtained for the spin magnetization is 0.9 μB per cell. As for the crystal system: tetragonal.

***

# 2
VASP calculation (PBEsol) on an optimized crystal structure of ZrCrP2S.

Lattice parameters (Å, degrees): 4.3566 4.3566 4.5189 90.00 90.00 90.00
With the nearest neighbours (Å) after each atom.
Sites, in units of the cell vectors:
P: 0.0000 0.5000 0.0000  2 Cr 2.18
Zr: 0.5000 0.5000 0.5000  4 S 3.08, 8 P 3.14
S: 0.0000 0.0000 0.5000  2 Cr 2.26
Cr: 0.0000 0.0000 0.0000  4 P 2.18, 2 S 2.26
P: 0.5000 0.0000 0.0000  2 Cr 2.18

The calculation puts the uncorrected formation energy at 0.016 eV/atom. For the density, the calculation gives 4.593 g/cm³. For the volume, the calculation gives 85.8 Å³/cell. The value obtained for the spin magnetization is 2.1 μB per cell. As for the crystal system: tetragonal.

***

# 3
VASP calculation (PBEsol) on an optimized crystal structure of KSr3I.

Lattice parameters (Å, degrees): 6.5116 6.5116 6.5116 90.00 90.00 90.00
With the nearest neighbours (Å) after each atom.
Sites, in units of the cell vectors:
I: 0.0000 0.0000 0.0000  6 Sr 3.26
K: 0.5000 0.5000 0.5000  12 Sr 4.60
Sr: 0.0000 0.0000 0.5000  2 I 3.26
Sr: 0.5000 0.0000 0.0000  2 I 3.26
Sr: 0.0000 0.5000 0.0000  2 I 3.26

The calculation puts the uncorrected formation energy at -0.176 eV/atom. For the density, the calculation gives 2.579 g/cm³. For the volume, the calculation gives 276.1 Å³/cell. The value obtained for the spin magnetization is 1.4 μB per cell. As for the crystal system: cubic.

***

# 4
VASP calculation (PBEsol) on an optimized crystal structure of HPdRu2N.

Lattice parameters (Å, degrees): 2.7333 4.3381 4.3381 90.00 90.00 90.00
With the nearest neighbours (Å) after each atom.
Sites, in units of the cell vectors:
H: 0.5000 0.0000 0.0000  2 N 1.37
Pd: 0.5000 0.5000 0.5000  8 Ru 2.56, 2 Pd 2.73
Ru: 0.0000 0.5000 0.0000  2 N 2.17
Ru: 0.0000 0.0000 0.5000  2 N 2.17
N: 0.0000 0.0000 0.0000  2 H 1.37

For the density, the calculation gives 10.446 g/cm³. For the volume, the calculation gives 51.4 Å³/cell. The value obtained for the spin magnetization is 0.0 μB per cell. As for the crystal system: tetragonal. The calculation puts the energy at -7.066 eV/atom.